No. 1
The following is a meta-GGA SCAN calculation of a PBEsol-optimized structure of MgFe2B, from Alexandria.

Cell and atoms, written as POSCAR:
```
MgFe2B
1.0
-0.916 -2.406 2.865
2.780 -1.629 2.111
0.520 1.078 3.661
Fe Mg B
2 1 1
Direct
0.250 0.250 0.250
0.750 0.750 0.750
0.500 0.500 0.500
0.000 0.000 0.000
```

- Total DFT energy (no corrections): -46.2 eV per cell
- Total magnetization: 2.9 μB/f.u.

No. 2
The following is a meta-GGA SCAN calculation of a PBEsol-optimized structure of MgFeBO4, from Alexandria.

Cell and atoms, written as POSCAR:
```
MgFeBO4
1.0
2.990 0.000 0.000
0.000 9.038 0.000
0.000 0.000 9.233
O Mg Fe B
16 4 4 4
Direct
0.750 0.241 0.992
0.250 0.504 0.619
0.750 0.996 0.119
0.250 0.742 0.271
0.750 0.496 0.381
0.250 0.259 0.492
0.250 0.004 0.881
0.750 0.258 0.729
0.750 0.474 0.877
0.750 0.974 0.623
0.750 0.741 0.508
0.250 0.026 0.377
0.250 0.526 0.123
0.250 0.759 0.008
0.250 0.242 0.229
0.750 0.758 0.771
0.250 0.107 0.673
0.750 0.393 0.173
0.250 0.607 0.827
0.750 0.893 0.327
0.750 0.890 0.947
0.750 0.390 0.553
0.250 0.610 0.447
0.250 0.110 0.053
0.250 0.173 0.363
0.750 0.827 0.637
0.250 0.673 0.137
0.750 0.327 0.863
```

- Total magnetization: 1.0 μB/f.u.
- Formation energy from raw total energies: -2.39 eV per atom

No. 3
The following is a meta-GGA SCAN calculation of a PBEsol-optimized structure of MnFeB, from Alexandria.

Cell and atoms, written as POSCAR:
```
MnFeB
1.0
4.028 0.003 0.000
-1.956 3.522 0.000
-1.036 -1.762 3.553
Fe B Mn
2 2 2
Direct
0.662 0.662 0.324
0.338 0.338 0.676
0.750 0.250 0.500
0.250 0.750 0.500
0.840 0.160 0.000
0.160 0.840 0.000
```

- Total DFT energy (no corrections): -89.4 eV per cell
- Total magnetization: 3.6 μB/f.u.

No. 4
The following is a meta-GGA SCAN calculation of a PBEsol-optimized structure of FeB2Mo2, from Alexandria.

Cell and atoms, written as POSCAR:
```
FeB2Mo2
1.0
-3.111 -0.403 -0.012
0.571 -4.506 3.438
-0.459 3.407 4.542
Mo B Fe
4 4 2
Direct
0.500 0.177 0.323
0.500 0.323 0.823
0.500 0.677 0.177
0.500 0.823 0.677
0.000 0.386 0.114
0.000 0.614 0.886
0.000 0.886 0.386
0.000 0.114 0.614
0.000 0.000 0.000
0.000 0.500 0.500
```

- Total DFT energy (no corrections): -209.8 eV per cell
- Total magnetization: 2.2 μB/f.u.

No. 5
The following is a meta-GGA SCAN calculation of a PBEsol-optimized structure of FeBSe2N, from Alexandria.

Cell and atoms, written as POSCAR:
```
FeBSe2N
1.0
-0.887 1.618 -1.912
0.165 -3.986 -3.450
-4.969 -1.271 1.230
N B Se Fe
1 1 2 1
Direct
0.500 0.000 0.000
0.000 0.000 0.000
0.000 0.000 0.500
0.000 0.500 0.000
0.500 0.500 0.500
```

- Total magnetization: 4.0 μB/f.u.
- Formation energy from raw total energies: 0.29 eV per atom

No. 6
The following is a meta-GGA SCAN calculation of a PBEsol-optimized structure of FeBTeN2, from Alexandria.

Cell and atoms, written as POSCAR:
```
FeBTeN2
1.0
3.485 0.000 0.000
0.000 3.485 0.000
0.000 0.000 5.377
N Fe B Te
2 1 1 1
Direct
0.000 0.500 0.000
0.500 0.000 0.000
0.000 0.000 0.000
0.500 0.500 0.500
0.000 0.000 0.500
```

- Total magnetization: 0.0 μB/f.u.
- Formation energy from raw total energies: 1.29 eV per atom

No. 7
The following is a meta-GGA SCAN calculation of a PBEsol-optimized structure of Na6Fe2B4PO16, from Alexandria.

Cell and atoms, written as POSCAR:
```
Na6Fe2B4PO16
1.0
-1.872 9.189 2.317
-7.530 4.549 -3.989
-7.740 2.148 5.365
O P B Fe Na
32 2 8 4 12
Direct
0.804 0.711 0.494
0.539 0.756 0.446
0.711 0.804 0.991
0.184 0.447 0.184
0.539 0.446 0.259
0.991 0.804 0.494
0.259 0.756 0.539
0.539 0.259 0.756
0.446 0.539 0.756
0.991 0.711 0.804
0.756 0.539 0.259
0.066 0.066 0.066
0.756 0.446 0.539
0.446 0.756 0.259
0.991 0.494 0.711
0.446 0.259 0.539
0.447 0.184 0.184
0.066 0.066 0.803
0.804 0.991 0.711
0.804 0.494 0.991
0.803 0.066 0.066
0.259 0.446 0.756
0.184 0.184 0.447
0.184 0.184 0.184
0.711 0.991 0.494
0.066 0.803 0.066
0.259 0.539 0.446
0.494 0.991 0.804
0.756 0.259 0.446
0.494 0.804 0.711
0.711 0.494 0.804
0.494 0.711 0.991
0.250 0.250 0.250
0.000 0.000 0.000
0.833 0.833 0.500
0.500 0.833 0.833
0.417 0.417 0.750
0.750 0.417 0.417
0.833 0.833 0.833
0.417 0.417 0.417
0.417 0.750 0.417
0.833 0.500 0.833
0.625 0.625 0.625
0.125 0.625 0.625
0.625 0.125 0.625
0.625 0.625 0.125
0.039 0.039 0.461
0.461 0.039 0.461
0.039 0.461 0.461
0.211 0.211 0.789
0.211 0.789 0.211
0.211 0.789 0.789
0.789 0.211 0.789
0.039 0.461 0.039
0.789 0.789 0.211
0.461 0.039 0.039
0.461 0.461 0.039
0.789 0.211 0.211
```

- Total magnetization: 5.1 μB/f.u.
- Formation energy from raw total energies: -2.16 eV per atom

No. 8
The following is a meta-GGA SCAN calculation of a PBEsol-optimized structure of NbFeB, from Alexandria.

Cell and atoms, written as POSCAR:
```
NbFeB
1.0
-1.638 0.842 2.585
2.013 -4.810 2.842
3.039 5.095 0.267
B Nb Fe
3 3 3
Direct
0.000 0.667 0.333
0.000 0.333 0.667
0.500 0.000 0.000
0.500 0.411 0.411
0.500 0.589 0.000
0.500 0.000 0.589
0.000 0.762 0.762
0.000 0.000 0.238
0.000 0.238 0.000
```

- Total DFT energy (no corrections): -180.4 eV per cell
- Total magnetization: 0.7 μB/f.u.

No. 9
The following is a meta-GGA SCAN calculation of a PBEsol-optimized structure of NdFe12B6, from Alexandria.

Cell and atoms, written as POSCAR:
```
NdFe12B6
1.0
-1.407 -1.340 -5.631
2.270 -5.056 2.185
-5.264 0.543 2.735
B Fe Nd
6 12 1
Direct
0.231 0.687 0.231
0.313 0.769 0.769
0.231 0.231 0.687
0.687 0.231 0.231
0.769 0.313 0.769
0.769 0.769 0.313
0.869 0.500 0.131
0.131 0.500 0.869
0.131 0.869 0.500
0.869 0.131 0.500
0.500 0.131 0.869
0.500 0.869 0.131
0.186 0.456 0.456
0.814 0.544 0.544
0.544 0.544 0.814
0.456 0.456 0.186
0.544 0.814 0.544
0.456 0.186 0.456
0.000 0.000 0.000
```

- Total DFT energy (no corrections): -310.3 eV per cell
- Total magnetization: 22.7 μB/f.u.

No. 10
The following is a meta-GGA SCAN calculation of a PBEsol-optimized structure of Nd5Fe2B6, from Alexandria.

Cell and atoms, written as POSCAR:
```
Nd5Fe2B6
1.0
-1.773 0.827 5.064
-5.270 -0.591 1.161
-1.116 -7.588 3.759
B Fe Nd
6 2 5
Direct
0.834 0.166 0.500
0.166 0.500 0.500
0.500 0.166 0.500
0.166 0.834 0.500
0.500 0.834 0.500
0.834 0.500 0.500
0.879 0.879 0.363
0.121 0.121 0.637
0.584 0.584 0.249
0.748 0.748 0.755
0.416 0.416 0.751
0.000 0.000 0.000
0.252 0.252 0.245
```

- Total DFT energy (no corrections): -303.8 eV per cell
- Total magnetization: 1.5 μB/f.u.

No. 11
The following is a meta-GGA SCAN calculation of a PBEsol-optimized structure of NdFe3B4O12, from Alexandria.

Cell and atoms, written as POSCAR:
```
NdFe3B4O12
1.0
-0.031 1.894 -5.608
2.385 -5.410 -0.271
-5.700 -0.950 1.281
O Nd B Fe
12 1 4 3
Direct
0.085 0.500 0.915
0.773 0.625 0.030
0.500 0.649 0.351
0.351 0.500 0.649
0.649 0.351 0.500
0.915 0.085 0.500
0.970 0.375 0.227
0.375 0.227 0.970
0.500 0.915 0.085
0.030 0.773 0.625
0.625 0.030 0.773
0.227 0.970 0.375
0.000 0.000 0.000
0.500 0.064 0.936
0.064 0.936 0.500
0.936 0.500 0.064
0.500 0.500 0.500
0.438 0.562 0.000
0.562 0.000 0.438
0.000 0.438 0.562
```

- Total magnetization: 3.0 μB/f.u.
- Formation energy from raw total energies: -2.35 eV per atom

No. 12
The following is a meta-GGA SCAN calculation of a PBEsol-optimized structure of FeNiB, from Alexandria.

Cell and atoms, written as POSCAR:
```
FeNiB
1.0
-2.787 -1.352 2.600
2.165 -2.703 -2.089
2.752 1.981 2.336
Ni B Fe
2 2 2
Direct
0.833 0.833 0.665
0.167 0.167 0.335
0.250 0.750 0.500
0.750 0.250 0.500
0.667 0.333 0.000
0.333 0.667 0.000
```

- Total DFT energy (no corrections): -85.1 eV per cell
- Total magnetization: 2.4 μB/f.u.

No. 13
The following is a meta-GGA SCAN calculation of a PBEsol-optimized structure of Fe2NiB, from Alexandria.

Cell and atoms, written as POSCAR:
```
Fe2NiB
1.0
4.333 0.000 0.000
0.000 5.263 0.000
0.000 0.000 6.497
Ni B Fe
4 4 8
Direct
0.369 0.972 0.750
0.869 0.528 0.250
0.131 0.472 0.750
0.631 0.028 0.250
0.942 0.122 0.750
0.442 0.378 0.250
0.558 0.622 0.750
0.058 0.878 0.250
0.354 0.682 0.440
0.854 0.818 0.940
0.354 0.682 0.060
0.854 0.818 0.560
0.646 0.318 0.560
0.146 0.182 0.060
0.146 0.182 0.440
0.646 0.318 0.940
```

- Total DFT energy (no corrections): -242.7 eV per cell
- Total magnetization: 4.9 μB/f.u.

No. 14
The following is a meta-GGA SCAN calculation of a PBEsol-optimized structure of FeNi2BO5, from Alexandria.

Cell and atoms, written as POSCAR:
```
FeNi2BO5
1.0
-2.554 0.146 -1.370
2.426 -7.039 -5.270
-4.666 -7.519 7.894
O Ni B Fe
20 8 4 4
Direct
0.000 0.155 0.539
0.500 0.884 0.642
0.000 0.345 0.039
0.500 0.621 0.582
0.000 0.157 0.741
0.000 0.657 0.759
0.500 0.379 0.418
0.500 0.616 0.142
0.500 0.121 0.918
0.000 0.117 0.140
0.500 0.879 0.082
0.000 0.655 0.961
0.000 0.845 0.461
0.000 0.383 0.640
0.000 0.617 0.360
0.500 0.116 0.358
0.000 0.883 0.860
0.000 0.843 0.259
0.000 0.343 0.241
0.500 0.384 0.858
0.500 0.499 0.723
0.500 0.500 0.000
0.000 0.000 0.000
0.500 0.000 0.500
0.500 0.999 0.777
0.000 0.500 0.500
0.500 0.501 0.277
0.500 0.001 0.223
0.000 0.732 0.860
0.000 0.268 0.140
0.000 0.768 0.360
0.000 0.232 0.640
0.000 0.745 0.111
0.000 0.255 0.889
0.000 0.755 0.611
0.000 0.245 0.389
```

- Total magnetization: 5.0 μB/f.u.
- Formation energy from raw total energies: -1.78 eV per atom

No. 15
The following is a meta-GGA SCAN calculation of a PBEsol-optimized structure of FeB2O4, from Alexandria.

Cell and atoms, written as POSCAR:
```
FeB2O4
1.0
-0.600 2.130 -3.818
-0.866 -3.871 -3.857
-4.115 1.563 3.352
O B Fe
8 4 2
Direct
0.020 0.799 0.502
0.980 0.201 0.498
0.520 0.498 0.201
0.475 0.044 0.771
0.480 0.502 0.799
0.525 0.956 0.229
0.975 0.229 0.956
0.025 0.771 0.044
0.630 0.290 0.922
0.130 0.078 0.710
0.870 0.922 0.290
0.370 0.710 0.078
0.250 0.373 0.373
0.750 0.627 0.627
```

- Total magnetization: 4.0 μB/f.u.
- Formation energy from raw total energies: -2.26 eV per atom

No. 16
The following is a meta-GGA SCAN calculation of a PBEsol-optimized structure of FeB4O7, from Alexandria.

Cell and atoms, written as POSCAR:
```
FeB4O7
1.0
5.179 0.000 0.000
0.000 6.331 0.038
0.000 2.939 5.608
O B Fe
14 8 2
Direct
0.250 0.195 0.244
0.478 0.811 0.447
0.022 0.811 0.447
0.750 0.805 0.756
0.250 0.919 0.081
0.478 0.553 0.189
0.022 0.553 0.189
0.250 0.756 0.805
0.750 0.244 0.195
0.978 0.189 0.553
0.978 0.447 0.811
0.522 0.447 0.811
0.522 0.189 0.553
0.750 0.081 0.919
0.750 0.312 0.925
0.750 0.075 0.688
0.000 0.296 0.296
0.250 0.688 0.075
0.500 0.704 0.704
0.250 0.925 0.312
0.000 0.704 0.704
0.500 0.296 0.296
0.250 0.234 0.766
0.750 0.766 0.234
```

- Total magnetization: 4.0 μB/f.u.
- Formation energy from raw total energies: -2.39 eV per atom

No. 17
The following is a meta-GGA SCAN calculation of a PBEsol-optimized structure of FeBPO2, from Alexandria.

Cell and atoms, written as POSCAR:
```
FeBPO2
1.0
-2.710 1.614 -1.214
-2.019 -2.122 1.687
0.064 3.034 3.892
B P O Fe
1 1 2 1
Direct
0.500 0.500 0.500
0.000 0.000 0.500
0.000 0.500 0.000
0.500 0.000 0.000
0.000 0.000 0.000
```

- Total magnetization: 2.7 μB/f.u.
- Formation energy from raw total energies: 0.14 eV per atom

No. 18
The following is a meta-GGA SCAN calculation of a PBEsol-optimized structure of FeBP2O, from Alexandria.

Cell and atoms, written as POSCAR:
```
FeBP2O
1.0
2.640 0.000 0.000
0.000 4.722 0.000
0.000 0.000 4.722
B O P Fe
1 1 2 1
Direct
0.000 0.000 0.000
0.500 0.000 0.000
0.000 0.000 0.500
0.000 0.500 0.000
0.500 0.500 0.500
```

- Total magnetization: 3.1 μB/f.u.
- Formation energy from raw total energies: 0.12 eV per atom